1.
The following is a PBE calculation of crystalline OsSeN at its relaxed geometry, from Alexandria via LeMat-Bulk.

Total energy (eV per atom): -7.1457
E_form (uncorrected) (eV per atom): 0.53
Polymorph energy (0 for the lowest one) (eV per atom): 0.137
Crystal system: monoclinic
Magnetic moment (μB per cell): 0.00

a = 2.7690 Å, b = 4.9560 Å, c = 3.6365 Å
α = 90.00°, β = 112.04°, γ = 90.00°
Last column: nearest neighbours and their distance in Å.
Positions (direct):
N1 0.7670 0.0000 0.0202  3 Os 1.92-2.01
Os1 0.4783 0.0000 0.4510  3 N 1.92-2.01
Se1 0.3904 0.5000 0.2816  2 Os 2.54, 2 Se 2.77

2.
The following is a PBE calculation of crystalline Ti4CuRh3 at its relaxed geometry, from Alexandria via LeMat-Bulk.

Total energy (eV per atom): -7.7886
Energy of formation from the pure elements (eV/atom): -0.5724
Crystal system: orthorhombic
Magnetic moment (μB per cell): 0.00

a = 4.5265 Å, b = 5.8908 Å, c = 8.9774 Å
α = 90.00°, β = 90.00°, γ = 90.00°
Last column: nearest neighbours and their distance in Å.
Positions (direct):
Rh1 0.5419 0.5000 0.7500  8 Ti 2.67-2.73, 2 Rh 2.95
Ti1 0.0338 0.2508 0.7500  6 Rh 2.66-2.75, 2 Cu 2.69, 2 Ti 2.94-2.95
Rh2 0.0000 0.0000 0.0000  8 Ti 2.69-2.70, 2 Cu 2.95
Ti2 0.0338 0.7492 0.7500  6 Rh 2.66-2.75, 2 Cu 2.69, 2 Ti 2.94-2.95
Ti3 0.5000 0.7496 0.5000  6 Rh 2.69-2.70, 2 Cu 2.70, 2 Ti 2.94-2.95
Ti4 0.9662 0.2508 0.2500  6 Rh 2.66-2.75, 2 Cu 2.69, 2 Ti 2.94-2.95
Ti5 0.5000 0.7496 0.0000  6 Rh 2.69-2.70, 2 Cu 2.70, 2 Ti 2.94-2.95
Ti6 0.9662 0.7492 0.2500  6 Rh 2.66-2.75, 2 Cu 2.69, 2 Ti 2.94-2.95
Rh3 0.5459 0.0000 0.7500  8 Ti 2.66-2.75, 2 Rh 2.95
Rh4 0.0000 0.0000 0.5000  8 Ti 2.69-2.70, 2 Cu 2.95
Rh5 0.4581 0.5000 0.2500  8 Ti 2.67-2.73, 2 Rh 2.95
Ti7 0.5000 0.2504 0.0000  6 Rh 2.69-2.70, 2 Cu 2.70, 2 Ti 2.94-2.95
Ti8 0.5000 0.2504 0.5000  6 Rh 2.69-2.70, 2 Cu 2.70, 2 Ti 2.94-2.95
Cu1 0.0000 0.5000 0.0000  8 Ti 2.69-2.70, 2 Rh 2.95
Cu2 0.0000 0.5000 0.5000  8 Ti 2.69-2.70, 2 Rh 2.95
Rh6 0.4541 0.0000 0.2500  8 Ti 2.66-2.75, 2 Rh 2.95

3.
The following is a PBE calculation of crystalline ZnMo at its relaxed geometry, from Alexandria via LeMat-Bulk.

Total energy (eV per atom): -5.6133
Energy of formation from the pure elements (eV/atom): 0.4392
Polymorph energy (0 for the lowest one) (eV per atom): 0.377
Crystal system: orthorhombic
Magnetic moment (μB per cell): 0.00

a = 3.8170 Å, b = 16.1154 Å, c = 8.2275 Å
α = 90.00°, β = 90.00°, γ = 90.00°
Last column: nearest neighbours and their distance in Å.
Positions (direct):
Zn1 0.0000 0.0000 0.3386  3 Zn 2.40-2.66
Mo1 0.5000 0.0879 0.5000  3 Mo 2.56-2.83, 4 Zn 2.72
Mo2 0.7500 0.3379 0.2500  3 Mo 2.56-2.83, 4 Zn 2.72
Zn2 0.0000 0.5000 0.1614  3 Zn 2.40-2.66
Mo3 0.2500 0.1621 0.7500  3 Mo 2.56-2.83, 4 Zn 2.72
Mo4 0.2500 0.8379 0.2500  3 Mo 2.56-2.83, 4 Zn 2.72
Mo5 0.0000 0.5879 0.5000  3 Mo 2.56-2.83, 4 Zn 2.72
Mo6 0.7500 0.6621 0.7500  3 Mo 2.56-2.83, 4 Zn 2.72
Mo7 0.5000 0.5879 0.0000  3 Mo 2.56-2.83, 4 Zn 2.72
Mo8 0.7500 0.1621 0.2500  3 Mo 2.56-2.83, 4 Zn 2.72
Zn3 0.5000 0.0000 0.1614  3 Zn 2.40-2.66
Mo9 0.2500 0.3379 0.7500  3 Mo 2.56-2.83, 4 Zn 2.72
Zn4 0.5000 0.0000 0.8386  3 Zn 2.40-2.66
Zn5 0.7500 0.2500 0.5886  3 Zn 2.40-2.66
Mo10 0.0000 0.9121 0.0000  3 Mo 2.56-2.83, 4 Zn 2.72
Mo11 0.5000 0.9121 0.5000  3 Mo 2.56-2.83, 4 Zn 2.72
Zn6 0.5000 0.5000 0.3386  3 Zn 2.40-2.66
Zn7 0.2500 0.2500 0.4114  3 Zn 2.40-2.66
Zn8 0.2500 0.7500 0.5886  3 Zn 2.40-2.66
Zn9 0.7500 0.2500 0.9114  3 Zn 2.40-2.66
Zn10 0.0000 0.5000 0.8386  3 Zn 2.40-2.66
Zn11 0.5000 0.5000 0.6614  3 Zn 2.40-2.66
Zn12 0.7500 0.7500 0.0886  3 Zn 2.40-2.66
Mo12 0.0000 0.0879 0.0000  3 Mo 2.56-2.83, 4 Zn 2.72
Mo13 0.0000 0.4121 0.5000  3 Mo 2.56-2.83, 4 Zn 2.72
Zn13 0.2500 0.7500 0.9114  3 Zn 2.40-2.66
Zn14 0.7500 0.7500 0.4114  3 Zn 2.40-2.66
Mo14 0.2500 0.6621 0.2500  3 Mo 2.56-2.83, 4 Zn 2.72
Mo15 0.7500 0.8379 0.7500  3 Mo 2.56-2.83, 4 Zn 2.72
Zn15 0.0000 0.0000 0.6614  3 Zn 2.40-2.66
Zn16 0.2500 0.2500 0.0886  3 Zn 2.40-2.66
Mo16 0.5000 0.4121 0.0000  3 Mo 2.56-2.83, 4 Zn 2.72

4.
The following is a PBE calculation of crystalline Ac12Pb6C at its relaxed geometry, from Alexandria via LeMat-Bulk.

Total energy (eV per atom): -4.5802
Energy of formation from the pure elements (eV/atom): -0.3289
Crystal system: trigonal
Magnetic moment (μB per cell): 0.00

a = 9.1449 Å, b = 9.1449 Å, c = 9.1449 Å
α = 92.53°, β = 92.53°, γ = 92.53°
Last column: nearest neighbours and their distance in Å.
Positions (direct):
Ac1 0.5464 0.1933 0.4165  4 Pb 3.42-3.55
Ac2 0.5835 0.4536 0.8067  4 Pb 3.42-3.55
Ac3 0.4536 0.8067 0.5835  4 Pb 3.42-3.55
Ac4 0.9285 0.7094 0.0433  1 C 2.76
Pb1 0.6358 0.8581 0.2535  8 Ac 3.42-3.67
Ac5 0.1933 0.4165 0.5464  4 Pb 3.42-3.55
Ac6 0.8067 0.5835 0.4536  4 Pb 3.42-3.55
Pb2 0.2535 0.6358 0.8581  8 Ac 3.42-3.67
Ac7 0.0433 0.9285 0.7094  1 C 2.76
Ac8 0.9567 0.0715 0.2906  1 C 2.76
Ac9 0.7094 0.0433 0.9285  1 C 2.76
Ac10 0.0715 0.2906 0.9567  1 C 2.76
C1 0.0000 0.0000 0.0000  6 Ac 2.76
Pb3 0.7465 0.3642 0.1419  8 Ac 3.42-3.67
Ac11 0.2906 0.9567 0.0715  1 C 2.76
Pb4 0.1419 0.7465 0.3642  8 Ac 3.42-3.67
Pb5 0.8581 0.2535 0.6358  8 Ac 3.42-3.67
Ac12 0.4165 0.5464 0.1933  4 Pb 3.42-3.55
Pb6 0.3642 0.1419 0.7465  8 Ac 3.42-3.67